# MoIO2 GGA+U relaxed
data_MoIO2
_cell_length_a 6.133
_cell_length_b 6.133
_cell_length_c 6.133
_cell_angle_alpha 90.00
_cell_angle_beta 90.00
_cell_angle_gamma 90.00
_symmetry_space_group_name_H-M 'F m -3 m'
_symmetry_Int_Tables_number 225
_symmetry_space_group_name_Hall '-F 4 2 3'
loop_
_atom_site_label
_atom_site_fract_x
_atom_site_fract_y
_atom_site_fract_z
Mo1 0.000 0.000 0.000
I1 0.000 0.000 0.500
O1 0.250 0.250 0.250
# Total DFT energy (no corrections): -65.76 eV per cell
# Volume: 14.4 Å³/atom
# Polymorph energy (0 for the lowest one): 1509.9 meV/atom